Entry 1:
PBE TiSeS, optimized geometry; V = 276.3 Å³/cell; final energy = -6.270 eV/atom; distance to the lowest polymorph of the same formula = 105 meV per atom; uncorrected formation energy = -1101 meV per atom
1.0
-1.7478 -1.9977 -2.3043
4.6223 -4.1944 0.1304
-5.6959 -5.9814 9.5055
S Ti Se
4 4 4
Direct
0.2500 0.3868 0.6456
0.7500 0.6132 0.3544
0.2500 0.1132 0.1456
0.7500 0.8868 0.8544
0.2500 0.3857 0.2850
0.2500 0.1143 0.7850
0.7500 0.6143 0.7150
0.7500 0.8857 0.2150
0.2500 0.8702 0.6248
0.2500 0.6298 0.1248
0.7500 0.1298 0.3752
0.7500 0.3702 0.8752

Entry 2:
PBE Ti3SeS2, optimized geometry; V = 220.7 Å³/cell; final energy = -7.001 eV/atom; uncorrected formation energy = -1097 meV per atom
1.0
4.7486 0.0000 0.0000
0.0000 6.8332 0.9882
0.0000 -2.4862 6.4411
Se S Ti
2 4 6
Direct
0.4930 0.1140 0.1140
0.9930 0.8860 0.8860
0.4930 0.4439 0.7867
0.9930 0.5561 0.2133
0.9930 0.2133 0.5561
0.4930 0.7867 0.4439
0.9930 0.5147 0.8585
0.4930 0.1415 0.4853
0.9930 0.2108 0.2108
0.4930 0.4853 0.1415
0.9930 0.8585 0.5147
0.4930 0.7892 0.7892

Entry 3:
PBE Ti3Se2S2, optimized geometry; V = 129.5 Å³/cell; final energy = -6.801 eV/atom; uncorrected formation energy = -1242 meV per atom
1.0
-2.3567 -1.5173 -2.1526
5.5598 -0.4012 -2.9021
-0.0455 -5.0806 3.6399
Se S Ti
2 2 3
Direct
0.6320 0.2642 0.8789
0.3680 0.7358 0.1211
0.1169 0.2338 0.3712
0.8831 0.7662 0.6288
0.0000 0.0000 0.0000
0.7408 0.4818 0.2954
0.2592 0.5182 0.7046

Entry 4:
PBE TiSeS2, optimized geometry; V = 78.7 Å³/cell; final energy = -5.637 eV/atom; uncorrected formation energy = -728 meV per atom
1.0
1.9613 0.0000 7.8697
-0.9807 1.6986 7.8697
-0.9807 -1.6986 7.8697
S Se Ti
2 1 1
Direct
0.8946 0.8946 0.8946
0.1054 0.1054 0.1054
0.0000 0.0000 0.0000
0.5000 0.5000 0.5000

Entry 5:
PBE Ti7Se12S, optimized geometry; V = 435.1 Å³/cell; final energy = -6.098 eV/atom; uncorrected formation energy = -1038 meV per atom
1.0
7.7542 -0.1689 -2.3618
-3.1425 7.0910 -2.3618
-0.1125 -0.1689 8.1052
S Ti Se
1 7 12
Direct
0.0000 0.0000 0.0000
0.5000 0.5000 0.5000
0.6464 0.8887 0.9570
0.8887 0.9570 0.6464
0.1113 0.0430 0.3536
0.0430 0.3536 0.1113
0.3536 0.1113 0.0430
0.9570 0.6464 0.8887
0.9173 0.3093 0.7678
0.5415 0.8479 0.6142
0.0827 0.6907 0.2322
0.8479 0.6142 0.5415
0.6142 0.5415 0.8479
0.2322 0.0827 0.6907
0.4585 0.1521 0.3858
0.6907 0.2322 0.0827
0.3093 0.7678 0.9173
0.1521 0.3858 0.4585
0.3858 0.4585 0.1521
0.7678 0.9173 0.3093

Entry 6:
PBE Ti4SeS3, optimized geometry; V = 312.6 Å³/cell; final energy = -6.891 eV/atom; uncorrected formation energy = -960 meV per atom
1.0
-3.5376 5.7725 -1.0849
-5.4254 -3.3431 -0.0970
-0.6853 0.9073 7.0622
Ti S Se
8 6 2
Direct
0.6691 0.1359 0.5000
0.5327 0.1411 0.0000
0.1691 0.8641 0.0000
0.6775 0.7001 0.7063
0.1775 0.2999 0.7937
0.6775 0.7001 0.2937
0.1775 0.2999 0.2063
0.0327 0.8589 0.5000
0.0163 0.6407 0.7674
0.5163 0.3593 0.7326
0.0163 0.6407 0.2326
0.5163 0.3593 0.2674
0.0095 0.2223 0.5000
0.5095 0.7777 0.0000
0.4163 0.8524 0.5000
0.9163 0.1476 0.0000

Entry 7:
PBE Ti4Se3S4, optimized geometry; V = 186.8 Å³/cell; final energy = -6.357 eV/atom; uncorrected formation energy = -1035 meV per atom
1.0
-0.0249 2.4422 2.3720
-6.7972 -1.7867 1.7681
6.0368 -5.2624 3.0381
Ti S Se
4 4 3
Direct
0.5000 0.2175 0.0000
0.5000 0.7825 0.0000
0.7542 0.2542 0.5083
0.2458 0.7458 0.4917
0.3282 0.1319 0.6564
0.3282 0.5245 0.6564
0.6718 0.4755 0.3436
0.6718 0.8681 0.3436
0.9056 0.9056 0.8113
0.0000 0.5000 0.0000
0.0944 0.0944 0.1887

Entry 8:
PBE Ti2SeS2, optimized geometry; V = 183.6 Å³/cell; final energy = -6.766 eV/atom; uncorrected formation energy = -1260 meV per atom
1.0
-3.0988 -1.9084 3.2825
5.6946 0.4629 1.9863
-3.0316 6.4133 0.8667
Ti Se S
4 2 4
Direct
0.5110 0.0221 0.2637
0.4890 0.9779 0.7363
0.8268 0.6535 0.4216
0.1732 0.3465 0.5784
0.6678 0.3357 0.0783
0.3322 0.6643 0.9217
0.6696 0.3392 0.5967
0.3304 0.6608 0.4033
0.0011 0.0021 0.7394
0.9989 0.9979 0.2606

Entry 9:
PBE Ti2SeS4, optimized geometry; V = 191.2 Å³/cell; final energy = -5.248 eV/atom; uncorrected formation energy = -136 meV per atom
1.0
4.8838 0.0000 0.0000
0.0000 4.8838 0.0000
2.4419 2.4419 8.0165
Ti S Se
2 4 1
Direct
0.5849 0.5849 0.8301
0.4151 0.4151 0.1699
0.0000 0.5000 0.0000
0.7142 0.7142 0.5715
0.2858 0.2858 0.4285
0.5000 0.0000 0.0000
0.0000 0.0000 0.0000

Entry 10:
PBE TiSeS, optimized geometry; V = 67.7 Å³/cell; final energy = -6.376 eV/atom; distance to the lowest polymorph of the same formula = 0 meV per atom; uncorrected formation energy = -1207 meV per atom
1.0
3.4719 0.0000 0.0000
-1.7359 3.0067 0.0000
0.0000 0.0000 6.4877
Ti Se S
1 1 1
Direct
0.3333 0.6667 0.9853
0.6667 0.3333 0.2364
0.0000 0.0000 0.7783

Entry 11:
PBE Ti3SeS, optimized geometry; V = 92.0 Å³/cell; final energy = -6.581 eV/atom; distance to the lowest polymorph of the same formula = 446 meV per atom; uncorrected formation energy = -322 meV per atom
1.0
-3.4717 -2.0191 -2.0611
0.3616 -3.5037 2.8232
-2.8625 2.0062 2.8563
Ti S Se
3 1 1
Direct
0.5000 0.0000 0.0000
0.0000 0.0000 0.5000
0.0000 0.5000 0.0000
0.0000 0.0000 0.0000
0.5000 0.5000 0.5000

Entry 12:
PBE Ti2Se2S, optimized geometry; V = 100.8 Å³/cell; final energy = -6.592 eV/atom; distance to the lowest polymorph of the same formula = 0 meV per atom; uncorrected formation energy = -1215 meV per atom
1.0
-3.1864 0.2854 -1.5033
-2.9096 -0.7152 1.8755
-2.4966 8.7633 2.7999
Se S Ti
2 1 2
Direct
0.2277 0.2277 0.3168
0.7723 0.7723 0.6832
0.0000 0.0000 0.0000
0.3827 0.3827 0.8520
0.6173 0.6173 0.1480

Q: Which formula does entry 6 have?
A: Ti4SeS3

Q: Among the records above, which one has the lowest uncorrected formation energy?
A: Ti2SeS2

Q: final energy of number 9 (Ti2SeS4)?
A: -5.248 eV/atom